No. 1
The following is a PBE with a Hubbard U calculation of a geometry-optimized TiMoAs2O structure, from Alexandria via LeMat-Bulk.

Results
**Space-group type**: P4/mmm, No. 123
**DOS at the Fermi energy**: 3.75 states/eV per cell
**Magnetic moment**: 0.460 μB/atom
**Raw total energy**: -24.3 eV for the cell shown

a = 4.7313 Å, b = 5.2509 Å, c = 4.7313 Å
α = 90.00°, β = 90.00°, γ = 90.00°
With the nearest neighbours (Å) after each atom.
Fractional positions:
Mo (0.0000, 0.5000, 0.0000)  2 Ti 2.63
As (0.0000, 0.0000, 0.5000)  2 Ti 2.37
As (0.5000, 0.0000, 0.0000)  2 Ti 2.37
O (0.5000, 0.5000, 0.5000)  4 Mo 3.35, 8 As 3.53
Ti (0.0000, 0.0000, 0.0000)  4 As 2.37, 2 Mo 2.63

No. 2
The following is a PBE with a Hubbard U calculation of a geometry-optimized TlMoAsO6 structure, from Alexandria via LeMat-Bulk.

Results
**Space-group type**: P3, No. 143
**Magnetic moment**: 0.000 μB/atom
**Raw total energy**: -55.2 eV for the cell shown

a = 5.1548 Å, b = 5.1548 Å, c = 6.3118 Å
α = 90.00°, β = 90.00°, γ = 60.00°
With the nearest neighbours (Å) after each atom.
Fractional positions:
Tl (0.0000, 0.0000, 0.0317)  6 O 2.77-3.06
Mo (0.3333, 0.3333, 0.5235)  6 O 1.89-2.03
As (0.6666, 0.6667, 0.4767)  6 O 1.83-1.93
O (0.9958, 0.4019, 0.3242)  1 As 1.83, 1 Mo 2.03
O (0.3970, 0.9831, 0.6651)  1 Mo 1.89, 1 As 1.93
O (0.6199, 0.3970, 0.6651)  1 Mo 1.89, 1 As 1.93
O (0.9830, 0.6200, 0.6651)  1 Mo 1.89, 1 As 1.93
O (0.4019, 0.6022, 0.3242)  1 As 1.83, 1 Mo 2.03
O (0.6022, 0.9959, 0.3242)  1 As 1.83, 1 Mo 2.03

No. 3
The following is a PBE with a Hubbard U calculation of a geometry-optimized TlMo2AsO8 structure, from Alexandria via LeMat-Bulk.

Results
**Space-group type**: C2/m, No. 12
**DOS at the Fermi energy**: 0.00 states/eV per cell
**Magnetic moment**: 0.000 μB/atom
**Raw total energy**: -77.3 eV for the cell shown

a = 5.5754 Å, b = 5.5754 Å, c = 8.1824 Å
α = 87.90°, β = 87.90°, γ = 64.69°
With the nearest neighbours (Å) after each atom.
Fractional positions:
Tl (0.0000, 0.0000, 0.5000)  6 O 2.98-2.99
Mo (0.6347, 0.6347, 0.2069)  4 O 1.75-1.83
Mo (0.3653, 0.3653, 0.7931)  4 O 1.75-1.83
As (0.0000, 0.0000, 0.0000)  6 O 2.09-2.13
O (0.7251, 0.2217, 0.8165)  1 Mo 1.83
O (0.7819, 0.7819, 0.0581)  1 Mo 1.80
O (0.6969, 0.6969, 0.4054)  1 Mo 1.75
O (0.3031, 0.3031, 0.5946)  1 Mo 1.75
O (0.2181, 0.2181, 0.9419)  1 Mo 1.80
O (0.2217, 0.7251, 0.8165)  1 Mo 1.83
O (0.7783, 0.2749, 0.1835)  1 Mo 1.83
O (0.2749, 0.7783, 0.1835)  1 Mo 1.83

No. 4
The following is a PBE with a Hubbard U calculation of a geometry-optimized Mo2AsWO structure, from Alexandria via LeMat-Bulk.

Results
**Space-group type**: P4/mmm, No. 123
**DOS at the Fermi energy**: 1.67 states/eV per cell
**Magnetic moment**: 1.039 μB/atom
**Raw total energy**: -27.4 eV for the cell shown

a = 4.1059 Å, b = 4.8987 Å, c = 4.1059 Å
α = 90.00°, β = 90.00°, γ = 90.00°
With the nearest neighbours (Å) after each atom.
Fractional positions:
O (0.0000, 0.0000, 0.0000)  4 Mo 2.05
Mo (0.0000, 0.0000, 0.5000)  2 O 2.05
Mo (0.5000, 0.0000, 0.0000)  2 O 2.05
As (0.0000, 0.5000, 0.0000)  2 O 2.45
W (0.5000, 0.5000, 0.5000)  4 As 2.90, 8 Mo 3.20

No. 5
The following is a PBE with a Hubbard U calculation of a geometry-optimized YMoAsO5 structure, from Alexandria via LeMat-Bulk.

Results
**Space-group type**: C2/c, No. 15
**Magnetic moment**: 0.500 μB/atom
**Raw total energy**: -115.9 eV for the cell shown

a = 5.8197 Å, b = 5.8197 Å, c = 8.0432 Å
α = 101.86°, β = 101.86°, γ = 109.35°
With the nearest neighbours (Å) after each atom.
Fractional positions:
Y (0.0000, 0.0000, 0.5000)  6 O 2.21-2.34
Y (0.0000, 0.0000, 0.0000)  6 O 2.21-2.34
Mo (0.3153, 0.6847, 0.2500)  3 O 2.08-2.25
Mo (0.6847, 0.3153, 0.7500)  3 O 2.08-2.25
As (0.6844, 0.3156, 0.2500)  4 O 1.71-1.75
As (0.3156, 0.6844, 0.7500)  4 O 1.71-1.75
O (0.0966, 0.9034, 0.2500)  1 Mo 2.08, 2 Y 2.21
O (0.9034, 0.0966, 0.7500)  1 Mo 2.08, 2 Y 2.21
O (0.9440, 0.3455, 0.1670)  1 As 1.75
O (0.0560, 0.6545, 0.8330)  1 As 1.75
O (0.6545, 0.0560, 0.3330)  1 As 1.75
O (0.3455, 0.9440, 0.6670)  1 As 1.75
O (0.7290, 0.5770, 0.4158)  1 As 1.71
O (0.2710, 0.4230, 0.5842)  1 As 1.71
O (0.4230, 0.2710, 0.0842)  1 As 1.71
O (0.5770, 0.7290, 0.9158)  1 As 1.71

No. 6
The following is a PBE with a Hubbard U calculation of a geometry-optimized ZnMoAsO2 structure, from Alexandria via LeMat-Bulk.

Results
**Space-group type**: P4/mmm, No. 123
**DOS at the Fermi energy**: 3.20 states/eV per cell
**Magnetic moment**: 0.774 μB/atom
**Raw total energy**: -21.5 eV for the cell shown

a = 3.7521 Å, b = 6.4989 Å, c = 3.7521 Å
α = 90.00°, β = 90.00°, γ = 90.00°
With the nearest neighbours (Å) after each atom.
Fractional positions:
Zn (0.0000, 0.0000, 0.0000)  4 O 1.88
Mo (0.0000, 0.5000, 0.0000)  4 As 2.65
As (0.5000, 0.5000, 0.5000)  4 Mo 2.65
O (0.0000, 0.0000, 0.5000)  2 Zn 1.88
O (0.5000, 0.0000, 0.0000)  2 Zn 1.88

No. 7
The following is a PBE with a Hubbard U calculation of a geometry-optimized ZnMoAsO6 structure, from Alexandria via LeMat-Bulk.

Results
**Space-group type**: P-31c, No. 163
**Magnetic moment**: 0.111 μB/atom
**Raw total energy**: -109.4 eV for the cell shown

a = 5.0894 Å, b = 5.0894 Å, c = 9.0418 Å
α = 90.00°, β = 90.00°, γ = 120.00°
With the nearest neighbours (Å) after each atom.
Fractional positions:
Zn (0.0000, 0.0000, 0.0000)  6 O 2.21
Zn (0.0000, 0.0000, 0.5000)  6 O 2.21
Mo (0.6667, 0.3333, 0.2500)  6 O 2.00
Mo (0.3333, 0.6667, 0.7500)  6 O 2.00
As (0.3333, 0.6667, 0.2500)  6 O 1.87
As (0.6667, 0.3333, 0.7500)  6 O 1.87
O (0.6285, 0.6485, 0.1352)  1 As 1.87, 1 Mo 2.00
O (0.0200, 0.3715, 0.1352)  1 As 1.87, 1 Mo 2.00
O (0.3715, 0.0200, 0.6352)  1 As 1.87, 1 Mo 2.00
O (0.9800, 0.6285, 0.8648)  1 As 1.87, 1 Mo 2.00
O (0.3515, 0.3715, 0.3648)  1 As 1.87, 1 Mo 2.00
O (0.0200, 0.6485, 0.3648)  1 As 1.87, 1 Mo 2.00
O (0.6485, 0.0200, 0.8648)  1 As 1.87, 1 Mo 2.00
O (0.6285, 0.9800, 0.3648)  1 As 1.87, 1 Mo 2.00
O (0.9800, 0.3515, 0.6352)  1 As 1.87, 1 Mo 2.00
O (0.3515, 0.9800, 0.1352)  1 As 1.87, 1 Mo 2.00
O (0.6485, 0.6285, 0.6352)  1 As 1.87, 1 Mo 2.00
O (0.3715, 0.3515, 0.8648)  1 As 1.87, 1 Mo 2.00